Er8TcSn2 after structural relaxation. Source: the Alexandria database, functional PBE.

- V (Å³ per cell) = 589.9
- energy of formation from the pure elements (eV/atom) = -0.312

Cell: 17.119 5.444 6.919 Å, 90.00 113.80 90.00°
Space group C2/m (No. 12)
One atom of each set of equivalent atoms:
Er: 0.000 0.000 0.243 (multiplicity 4)
Er: 0.126 0.500 0.389 (multiplicity 4)
Er: 0.127 0.500 0.865 (multiplicity 4)
Er: 0.190 0.000 0.191 (multiplicity 4)
Tc: 0.000 0.500 0.000 (multiplicity 2)
Sn: 0.187 0.000 0.687 (multiplicity 4)